Record 1
CsK2PdF6: relaxed, GGA-PBE.

Computed properties:
For the energy relative to the lowest polymorph listed for this composition, the calculation gives 99.6 meV/atom. The volume comes out at 218.24 Å³/cell. The total energy comes out at -40.73 eV per formula unit. For the size of the total moment, the calculation gives 1.00 μB/f.u. Its energy relative to the elements, uncorrected is -2.126 eV per atom.

Lattice parameters (Å, degrees): 6.758 6.758 6.758 60.00 60.00 60.00
Each line ends with the local moment (μB).
Sites, in units of the cell vectors:
1 F 0.785 0.785 0.215  0.05
2 F 0.215 0.785 0.785  0.05
3 F 0.785 0.215 0.215  0.05
4 F 0.215 0.785 0.215  0.05
5 F 0.785 0.215 0.785  0.05
6 F 0.215 0.215 0.785  0.05
7 Pd 0.000 0.000 0.000  0.67
8 Cs 0.500 0.500 0.500  0.01
9 K 0.750 0.750 0.750  0.00
10 K 0.250 0.250 0.250  0.00


Record 2
K3Sr: relaxed, GGA-PBE.

Computed properties:
For the energy relative to the lowest polymorph listed for this composition, the calculation gives 29.8 meV/atom. The volume comes out at 268.38 Å³/cell. The energy of formation from the pure elements comes out at 87 meV/atom. The total energy comes out at -4.63 eV per formula unit. For the size of the total moment, the calculation gives 0.00 μB/f.u.

Lattice parameters (Å, degrees): 7.956 7.956 7.980 81.26 81.26 32.56
Sites, in units of the cell vectors:
1 K 0.749 0.749 0.755
2 K 0.251 0.251 0.245
3 K 0.500 0.500 0.500
4 Sr 0.000 0.000 0.000


Record 3
Ba5Dy8Zn4O21: relaxed, GGA-PBE.

Computed properties:
The volume comes out at 556.31 Å³/cell. The total energy comes out at -264.47 eV per formula unit. For the size of the total moment, the calculation gives 0.00 μB/f.u. Its energy relative to the elements, uncorrected is -2.864 eV per atom.

Lattice parameters (Å, degrees): 10.243 10.243 10.243 94.53 94.53 147.36
Sites, in units of the cell vectors:
1 Zn 0.041 0.251 0.291
2 Zn 0.749 0.041 0.790
3 Zn 0.959 0.749 0.709
4 Zn 0.251 0.959 0.210
5 O 0.010 0.604 0.109
6 O 0.604 0.495 0.594
7 O 0.990 0.396 0.891
8 O 0.495 0.900 0.891
9 O 0.298 0.072 0.870
10 O 0.037 0.628 0.665
11 O 0.500 0.500 0.000
12 O 0.963 0.372 0.335
13 O 0.798 0.572 0.870
14 O 0.428 0.298 0.226
15 O 0.928 0.798 0.226
16 O 0.505 0.100 0.109
17 O 0.072 0.202 0.774
18 O 0.372 0.037 0.409
19 O 0.702 0.928 0.130
20 O 0.396 0.505 0.406
21 O 0.900 0.010 0.406
22 O 0.202 0.428 0.130
23 O 0.572 0.702 0.774
24 O 0.100 0.990 0.594
25 O 0.628 0.963 0.591
26 Dy 0.411 0.358 0.769
27 Dy 0.168 0.753 0.921
28 Dy 0.753 0.832 0.585
29 Dy 0.358 0.589 0.946
30 Dy 0.589 0.642 0.231
31 Dy 0.642 0.411 0.054
32 Dy 0.832 0.247 0.079
33 Dy 0.247 0.168 0.415
34 Ba 0.000 0.000 0.000
35 Ba 0.861 0.535 0.396
36 Ba 0.535 0.139 0.674
37 Ba 0.465 0.861 0.326
38 Ba 0.139 0.465 0.604